Record 1
A plane-wave DFT calculation with GGA-PBE was carried out for a geometry-optimized Mg2ZnRh structure.

E_form	-138	kJ/mol of formula units
total magnetization	0.000	μB/f.u.
SG	Pmmn (59)
Fermi-level density of states	0.408	states/eV/atom

Geometry as POSCAR:
```
Mg2ZnRh
1.0
4.550 0.000 0.000
0.000 5.712 0.000
0.000 0.000 4.978
Mg Zn Rh
4 2 2
Direct
0.250 0.001 0.179 Mg
0.250 0.499 0.179 Mg
0.750 0.501 0.821 Mg
0.750 0.999 0.821 Mg
0.250 0.750 0.647 Zn
0.750 0.250 0.353 Zn
0.250 0.250 0.670 Rh
0.750 0.750 0.330 Rh
```

***

Record 2
A plane-wave DFT calculation with GGA-PBE was carried out for a geometry-optimized Ac4NiSCl2 structure.

total magnetization	0.000	μB/f.u.
SG	P2/m (10)
formation energy (no corrections)	-30.2	kcal/mol of atoms
Fermi-level density of states	0.597	states/eV/atom

Geometry as POSCAR:
```
Ac4NiSCl2
1.0
7.717 0.000 0.000
0.000 4.204 0.000
-2.523 0.000 7.461
Ac Ni S Cl
4 1 1 2
Direct
0.223 0.000 0.213 Ac
0.257 0.500 0.776 Ac
0.743 0.500 0.224 Ac
0.777 0.000 0.787 Ac
0.000 0.500 0.000 Ni
0.500 0.000 0.000 S
0.000 0.000 0.500 Cl
0.500 0.500 0.500 Cl
```

***

Record 3
A plane-wave DFT calculation with GGA-PBE was carried out for a geometry-optimized KNaBi4 structure.

E_form	-99	kJ/mol of formula units
total magnetization	0.000	μB/f.u.
SG	F-43m (216)
Fermi-level density of states	1.120	states/eV/atom

Geometry as POSCAR:
```
KNaBi4
1.0
0.000 4.777 4.777
4.777 0.000 4.777
4.777 4.777 0.000
K Na Bi
1 1 4
Direct
0.000 0.000 0.000 K
0.750 0.750 0.750 Na
0.375 0.375 0.375 Bi
0.375 0.375 0.875 Bi
0.375 0.875 0.375 Bi
0.875 0.375 0.375 Bi
```

***

Record 4
A plane-wave DFT calculation with GGA-PBE was carried out for a geometry-optimized BaTiS2Cl structure.

total magnetization	0.339	μB/f.u.
SG	P4/mmm (123)
formation energy (no corrections)	4.9	kcal/mol of atoms
Fermi-level density of states	1.943	states/eV/atom

Geometry as POSCAR:
```
BaTiS2Cl
1.0
5.742 0.000 0.000
0.000 5.742 0.000
0.000 0.000 5.629
Ba Ti S Cl
1 1 2 1
Direct
0.000 0.000 0.000 Ba
0.500 0.500 0.500 Ti
0.000 0.500 0.000 S
0.500 0.000 0.000 S
0.000 0.000 0.500 Cl
```

***

Record 5
A plane-wave DFT calculation with GGA-PBE was carried out for a geometry-optimized ReP structure.

E_form	46	kJ/mol of formula units
total magnetization	0.000	μB/f.u.
SG	Cmcm (63)
Fermi-level density of states	0.512	states/eV/atom

Geometry as POSCAR:
```
ReP
1.0
2.921 0.000 0.000
0.000 9.854 0.000
0.000 0.000 3.938
Re P
4 4
Direct
0.000 0.153 0.250 Re
0.000 0.847 0.750 Re
0.500 0.347 0.750 Re
0.500 0.653 0.250 Re
0.000 0.391 0.250 P
0.000 0.609 0.750 P
0.500 0.109 0.750 P
0.500 0.891 0.250 P
```

***

Record 6
A plane-wave DFT calculation with GGA-PBE was carried out for a geometry-optimized YTm2Ag3Te6 structure.

total magnetization	0.000	μB/f.u.
SG	C2/m (12)
formation energy (no corrections)	-18.9	kcal/mol of atoms

Geometry as POSCAR:
```
YTm2Ag3Te6
1.0
9.429 -2.188 0.000
9.429 2.188 0.000
-1.829 0.000 8.460
Y Tm Ag Te
1 2 3 6
Direct
0.000 0.000 0.000 Y
0.333 0.333 0.661 Tm
0.667 0.667 0.339 Tm
0.000 0.000 0.500 Ag
0.337 0.337 0.155 Ag
0.663 0.663 0.845 Ag
0.167 0.167 0.588 Te
0.169 0.169 0.090 Te
0.500 0.500 0.254 Te
0.500 0.500 0.746 Te
0.831 0.831 0.910 Te
0.833 0.833 0.412 Te
```

***

What did the second record say?
A plane-wave DFT calculation with GGA-PBE was carried out for a geometry-optimized Ac4NiSCl2 structure.

total magnetization	0.000	μB/f.u.
SG	P2/m (10)
formation energy (no corrections)	-30.2	kcal/mol of atoms
Fermi-level density of states	0.597	states/eV/atom

Geometry as POSCAR:
```
Ac4NiSCl2
1.0
7.717 0.000 0.000
0.000 4.204 0.000
-2.523 0.000 7.461
Ac Ni S Cl
4 1 1 2
Direct
0.223 0.000 0.213 Ac
0.257 0.500 0.776 Ac
0.743 0.500 0.224 Ac
0.777 0.000 0.787 Ac
0.000 0.500 0.000 Ni
0.500 0.000 0.000 S
0.000 0.000 0.500 Cl
0.500 0.500 0.500 Cl
```

***

Among the records above, which one has the highest total magnetization?
BaTiS2Cl

***

Which of these has the highest total magnetization?
BaTiS2Cl